An optimized crystal structure of Li2MnP2O7. Source: Alexandria, functional GGA+U. Values from VASP.

Output
For the density of states at the Fermi level, the calculation gives 0.000 states/eV per cell. The value obtained for the excess energy over the best structure of this formula in the dataset is 1.00 eV per formula unit. The total energy is -6.92 eV/atom.

Geometry as Quantum ESPRESSO input:
```
&SYSTEM
  ibrav = 0, nat = 24, ntyp = 4
/
ATOMIC_SPECIES
P 30.97 P.upf
O 16.00 O.upf
Li 6.94 Li.upf
Mn 54.94 Mn.upf
ATOMIC_POSITIONS crystal
P 0.432 0.637 0.225
O 0.694 0.192 0.767
P 0.208 0.862 0.775
O 0.693 0.541 0.767
Li 0.765 0.236 0.529
O 0.327 0.441 0.617
Mn 0.999 0.501 0.000
P 0.792 0.138 0.225
O 0.307 0.458 0.233
Li 0.236 0.264 0.470
Li 0.764 0.736 0.530
O 0.425 0.750 0.000
O 0.074 0.042 0.766
O 0.072 0.693 0.767
O 0.290 0.941 0.617
O 0.673 0.559 0.383
O 0.575 0.250 0.000
P 0.568 0.362 0.775
O 0.710 0.058 0.384
O 0.927 0.308 0.234
Mn 0.001 0.001 0.000
Li 0.235 0.764 0.470
O 0.306 0.807 0.233
O 0.927 0.959 0.233
CELL_PARAMETERS angstrom
6.809 -0.001 -0.001
0.001 7.277 -0.005
-3.401 3.636 6.532
```